A relaxed structure of PuGaAu3, computed with PBE.

## Properties
Energy above the most stable polymorph in this dataset: 43 meV/atom
Energy relative to the elements: -1.7 eV/f.u.
E: -5.769 eV per atom

Unit cell a=5.7544 b=5.8422 c=12.5256 alpha=90.00 beta=90.00 gamma=90.00
Last column: magnetic moment on the atom in μB.
Fractional positions:
Pu (0.5000, 0.0000, 0.5000)  5.34
Pu (0.0000, 0.5000, 0.5000)  5.34
Pu (0.5000, 0.0000, 0.0000)  5.34
Pu (0.0000, 0.5000, 0.0000)  5.34
Ga (0.3250, 0.8168, 0.2500)  -0.01
Ga (0.1750, 0.3168, 0.2500)  -0.01
Ga (0.8250, 0.6832, 0.7500)  -0.01
Ga (0.6750, 0.1832, 0.7500)  -0.01
Au (0.0149, 0.0104, 0.3909)  0.00
Au (0.1412, 0.3537, 0.7500)  0.00
Au (0.9851, 0.9896, 0.8909)  0.00
Au (0.3588, 0.8537, 0.7500)  0.00
Au (0.9851, 0.9896, 0.6091)  0.00
Au (0.0149, 0.0104, 0.1091)  0.00
Au (0.5149, 0.4896, 0.6091)  0.00
Au (0.4851, 0.5104, 0.1091)  0.00
Au (0.8588, 0.6463, 0.2500)  0.00
Au (0.4851, 0.5104, 0.3909)  0.00
Au (0.6412, 0.1463, 0.2500)  0.00
Au (0.5149, 0.4896, 0.8909)  0.00